A relaxed LaNiO3 crystal. Source: Alexandria, functional GGA+U.

The total energy comes out at -29.06 eV for the cell shown. The calculation puts the total magnetic moment at 2.93 μB per formula unit.

It has space group P4mm (No. 99), with a = 4.025 Å, b = 4.025 Å, c = 5.834 Å, α = 90.00°, β = 90.00° and γ = 90.00°. The asymmetric unit holds La at (0.000, 0.000, 0.000), Ni at (0.500, 0.500, 0.280), O at (0.000, 0.000, 0.642) and O at (0.000, 0.500, 0.206).